Record 1
The following is a DFT calculation (PBE) of an optimized crystal structure of Sc2TaI.

The energy above the most stable polymorph in this dataset comes out at 0.000 eV/atom.

It has space group R-3m (No. 166, hexagonal axes), with a = 3.3948 Å, b = 3.3948 Å, c = 30.7767 Å, α = 90.00°, β = 90.00° and γ = 120.00°. The distinct sites, in fractional coordinates, are Sc at (0.0000, 0.0000, 0.0931), Ta at (0.0000, 0.0000, 0.5000) and I at (0.0000, 0.0000, 0.0000).

---

Record 2
The following is a DFT calculation (PBE) of an optimized crystal structure of ScTa2I.

The energy above the most stable polymorph in this dataset comes out at 0.333 eV/atom.

It has space group Fm-3m (No. 225), with a = 6.871 Å, b = 6.871 Å, c = 6.871 Å, α = 90.00°, β = 90.00° and γ = 90.00°. The distinct sites, in fractional coordinates, are Sc at (0.000, 0.000, 0.000), Ta at (0.250, 0.250, 0.250) and I at (0.000, 0.000, 0.500).

---

Record 3
The following is a DFT calculation (PBE) of an optimized crystal structure of Sc2TaI4.

It has space group I4/mmm (No. 139), with a = 5.783 Å, b = 5.783 Å, c = 14.197 Å, α = 90.00°, β = 90.00° and γ = 90.00°. The distinct sites, in fractional coordinates, are Sc at (0.000, 0.000, 0.096), Ta at (0.000, 0.000, 0.500), I at (0.000, 0.000, 0.299) and I at (0.000, 0.500, 0.000).

---

Record 4
The following is a DFT calculation (PBE) of an optimized crystal structure of Sc2TaI.

The energy above the most stable polymorph in this dataset comes out at 0.210 eV/atom.

It has space group Fm-3m (No. 225), with a = 7.027 Å, b = 7.027 Å, c = 7.027 Å, α = 90.00°, β = 90.00° and γ = 90.00°. The distinct sites, in fractional coordinates, are Sc at (0.250, 0.250, 0.250), Ta at (0.000, 0.000, 0.000) and I at (0.000, 0.000, 0.500).

---

Computed formation energy without anion corrections (eV/atom) in order:
0.23; 0.96; 0.17; 0.44